Ba2NaAg10: optimized geometry, PBE.

a = 6.339 Å, b = 5.746 Å, c = 20.405 Å
α = 90.00°, β = 90.00°, γ = 90.00°
Fractional coordinates of all 26 atoms:
Ba: 0.500 0.325 0.837
Ba: 0.500 0.675 0.163
Ba: 0.500 0.825 0.663
Ba: 0.500 0.175 0.337
Na: 0.000 0.500 0.500
Na: 0.000 0.000 0.000
Ag: 0.000 0.963 0.567
Ag: 0.000 0.037 0.433
Ag: 0.000 0.463 0.933
Ag: 0.000 0.537 0.067
Ag: 0.000 0.122 0.700
Ag: 0.000 0.878 0.300
Ag: 0.285 0.183 0.105
Ag: 0.285 0.817 0.895
Ag: 0.715 0.683 0.395
Ag: 0.715 0.317 0.605
Ag: 0.715 0.817 0.895
Ag: 0.715 0.183 0.105
Ag: 0.285 0.317 0.605
Ag: 0.285 0.683 0.395
Ag: 0.000 0.878 0.166
Ag: 0.000 0.122 0.834
Ag: 0.000 0.378 0.334
Ag: 0.000 0.622 0.666
Ag: 0.000 0.378 0.200
Ag: 0.000 0.622 0.800

Output
**Space-group type**: Pbam (55)
**VASP energy**: -2.53 eV per atom
**DFT formation energy**: 0.057 eV/atom